Material: LiNpMnIr
Method: DFT, PBE-GGA
State: relaxed

## Properties
* formation energy: 0.9 kJ per mole of atoms
* DOS at the Fermi energy: 9.79 states/eV/cell
* volume: 65.14 Å³ per cell

a = 4.5163 Å, b = 4.5163 Å, c = 4.5163 Å
α = 60.00°, β = 60.00°, γ = 60.00°
Fractional positions:
Li  0.0000  0.0000  0.0000
Np  0.5000  0.5000  0.5000
Mn  0.7500  0.7500  0.7500
Ir  0.2500  0.2500  0.2500

=====

Material: LiMnIrOs
Method: DFT, PBE-GGA
State: relaxed

## Properties
* formation energy: 2.8 kJ per mole of atoms
* DOS at the Fermi energy: 3.42 states/eV/cell
* volume: 50.46 Å³ per cell

a = 4.1480 Å, b = 4.1480 Å, c = 4.1480 Å
α = 60.00°, β = 60.00°, γ = 60.00°
Fractional positions:
Li  0.0000  0.0000  0.0000
Mn  0.5000  0.5000  0.5000
Ir  0.7500  0.7500  0.7500
Os  0.2500  0.2500  0.2500

=====

Material: LiMnPIr
Method: DFT, PBE-GGA
State: relaxed

## Properties
* formation energy: -29.0 kJ per mole of atoms
* DOS at the Fermi energy: 3.78 states/eV/cell
* volume: 45.63 Å³ per cell

a = 4.0110 Å, b = 4.0110 Å, c = 4.0110 Å
α = 60.00°, β = 60.00°, γ = 60.00°
Fractional positions:
Li  0.0000  0.0000  0.0000
Mn  0.7500  0.7500  0.7500
P  0.5000  0.5000  0.5000
Ir  0.2500  0.2500  0.2500

=====

Material: LiPaMnIr
Method: DFT, PBE-GGA
State: relaxed

## Properties
* formation energy: -15.7 kJ per mole of atoms
* DOS at the Fermi energy: 2.92 states/eV/cell
* volume: 67.94 Å³ per cell

a = 4.5802 Å, b = 4.5802 Å, c = 4.5802 Å
α = 60.00°, β = 60.00°, γ = 60.00°
Fractional positions:
Li  0.0000  0.0000  0.0000
Pa  0.5000  0.5000  0.5000
Mn  0.2500  0.2500  0.2500
Ir  0.7500  0.7500  0.7500

=====

Material: LiMn2IrPb
Method: DFT, PBE-GGA
State: relaxed

## Properties
* formation energy: 127.5 kJ per mole of atoms
* DOS at the Fermi energy: 3.79 states/eV/cell
* volume: 134.85 Å³ per cell

a = 5.1465 Å, b = 5.1465 Å, c = 5.0912 Å
α = 90.00°, β = 90.00°, γ = 90.00°
Fractional positions:
Li  0.0000  0.0000  0.0000
Mn  0.0000  0.5000  0.5000
Mn  0.5000  0.0000  0.5000
Ir  0.5000  0.5000  0.0000
Pb  0.5000  0.5000  0.5000

=====

Material: LiPmMnIr
Method: DFT, PBE-GGA
State: relaxed

## Properties
* formation energy: -14.3 kJ per mole of atoms
* DOS at the Fermi energy: 2.79 states/eV/cell
* volume: 74.71 Å³ per cell

a = 4.7276 Å, b = 4.7276 Å, c = 4.7276 Å
α = 60.00°, β = 60.00°, γ = 60.00°
Fractional positions:
Li  0.0000  0.0000  0.0000
Pm  0.2500  0.2500  0.2500
Mn  0.7500  0.7500  0.7500
Ir  0.5000  0.5000  0.5000